# 1
! La2NdZr | the Alexandria database | PBE | relaxed; values from VASP
! DOS(E_F) (states/eV per cell): 4.6
! Distance to the lowest polymorph of the same formula (kJ/mol of formula units): 5
! ΔH_f (0 K) (meV per atom): 144
! Symmetry: P4/mmm, No. 123
&SYSTEM
  ibrav = 0, nat = 4, ntyp = 3
/
ATOMIC_SPECIES
Nd 144.24 Nd.upf
Zr 91.22 Zr.upf
La 138.91 La.upf
ATOMIC_POSITIONS crystal
Nd 0.5000 0.5000 0.5000
Zr 0.5000 0.0000 0.0000
La 0.0000 0.0000 0.5000
La 0.0000 0.5000 0.0000
CELL_PARAMETERS angstrom
5.0064 0.0000 0.0000
0.0000 5.0555 0.0000
0.0000 0.0000 5.0555

# 2
! La2NdZr | the Alexandria database | PBE | relaxed; values from VASP
! DOS(E_F) (states/eV per cell): 6.0
! Distance to the lowest polymorph of the same formula (kJ/mol of formula units): 0
! ΔH_f (0 K) (meV per atom): 131
! Symmetry: R-3m, No. 166
&SYSTEM
  ibrav = 0, nat = 4, ntyp = 3
/
ATOMIC_SPECIES
Nd 144.24 Nd.upf
Zr 91.22 Zr.upf
La 138.91 La.upf
ATOMIC_POSITIONS crystal
Nd 0.5000 0.5000 0.5000
Zr 0.0000 0.0000 0.0000
La 0.7439 0.7439 0.7682
La 0.2561 0.2561 0.2318
CELL_PARAMETERS angstrom
-0.7829 3.4648 -0.0611
-3.3257 1.0582 -0.6645
-3.7595 1.1692 11.1811

# 3
! La2NdZr | the Alexandria database | PBE | relaxed; values from VASP
! DOS(E_F) (states/eV per cell): 6.3
! Distance to the lowest polymorph of the same formula (kJ/mol of formula units): 2
! ΔH_f (0 K) (meV per atom): 137
! Symmetry: R3m, No. 160
&SYSTEM
  ibrav = 0, nat = 4, ntyp = 3
/
ATOMIC_SPECIES
La 138.91 La.upf
Nd 144.24 Nd.upf
Zr 91.22 Zr.upf
ATOMIC_POSITIONS crystal
La 0.0886 0.0886 0.7342
La 0.2434 0.2434 0.2697
Nd 0.6683 0.6683 0.9950
Zr 0.4996 0.4996 0.5012
CELL_PARAMETERS angstrom
3.5517 0.0000 0.0000
1.7759 3.0759 0.0000
1.7759 1.0253 11.7331

# 4
! LaNdZr | the Alexandria database | PBE | relaxed; values from VASP
! DOS(E_F) (states/eV per cell): 4.3
! Distance to the lowest polymorph of the same formula (kJ/mol of formula units): 17
! ΔH_f (0 K) (meV per atom): 148
! Symmetry: P3m1, No. 156
&SYSTEM
  ibrav = 0, nat = 3, ntyp = 3
/
ATOMIC_SPECIES
Nd 144.24 Nd.upf
Zr 91.22 Zr.upf
La 138.91 La.upf
ATOMIC_POSITIONS crystal
Nd 0.0000 0.0000 0.0222
Zr 0.6667 0.3333 0.3324
La 0.3333 0.6667 0.6454
CELL_PARAMETERS angstrom
-2.5233 -2.4203 0.0617
1.5041 0.8809 -3.0316
5.9765 -6.2012 1.1633

# 5
! LaNdZr | the Alexandria database | PBE | relaxed; values from VASP
! DOS(E_F) (states/eV per cell): 7.3
! Distance to the lowest polymorph of the same formula (kJ/mol of formula units): 17
! ΔH_f (0 K) (meV per atom): 148
! Symmetry: P2_1/m, No. 11
&SYSTEM
  ibrav = 0, nat = 6, ntyp = 3
/
ATOMIC_SPECIES
La 138.91 La.upf
Nd 144.24 Nd.upf
Zr 91.22 Zr.upf
ATOMIC_POSITIONS crystal
La 0.3469 0.0423 0.5076
La 0.8470 0.9478 0.3159
Nd 0.3468 0.3573 0.1359
Nd 0.8468 0.6326 0.6876
Zr 0.8468 0.7761 0.9742
Zr 0.3468 0.2135 0.8493
CELL_PARAMETERS angstrom
4.7492 0.0000 0.0013
0.0001 3.4322 -0.4787
-0.0031 -0.1803 11.2749

# 6
! La14NdZr | the Alexandria database | PBE | relaxed; values from VASP
! DOS(E_F) (states/eV per cell): 27.3
! ΔH_f (0 K) (meV per atom): 40
! Symmetry: Amm2, No. 38
&SYSTEM
  ibrav = 0, nat = 16, ntyp = 3
/
ATOMIC_SPECIES
La 138.91 La.upf
Nd 144.24 Nd.upf
Zr 91.22 Zr.upf
ATOMIC_POSITIONS crystal
La 0.3749 0.6251 0.5000
La 0.8750 0.1250 0.5000
La 0.8747 0.6246 0.0000
La 0.8754 0.6254 0.5000
La 0.3754 0.1253 0.0000
La 0.3746 0.1246 0.5000
La 0.6155 0.8655 0.7579
La 0.6155 0.8655 0.2421
La 0.1345 0.3845 0.7579
La 0.1345 0.3845 0.2421
La 0.1344 0.8656 0.7584
La 0.1344 0.8656 0.2416
La 0.6156 0.3844 0.7575
La 0.6156 0.3844 0.2425
Nd 0.8749 0.1251 0.0000
Zr 0.3753 0.6247 0.0000
CELL_PARAMETERS angstrom
-5.4448 1.1638 4.7864
2.4689 -5.5190 4.1660
6.0530 6.6794 5.2615